(1)
## SrPdSeBr2 (GGA-PBE)

Data for SrPdSeBr2 after structural relaxation.

Computed properties:
- formation energy from raw total energies (eV per atom) = -0.218
- total moment (μB/f.u.) = 2.04
- distance to the lowest polymorph of the same formula (eV/atom) = 0.732
- density of states at the Fermi level (states/eV/cell) = 8.870
- space group = P4/mmm, No. 123
- volume (Å³ per atom) = 41.88

abc: 5.8469 5.8469 6.1247
angles: 90.00 90.00 90.00
Each line ends with the local moment (μB).
Fractional coordinates of all 5 atoms:
Br (0.0000, 0.5000, 0.0000)  0.07
Br (0.5000, 0.0000, 0.0000)  0.07
Se (0.0000, 0.0000, 0.5000)  0.71
Sr (0.0000, 0.0000, 0.0000)  -0.01
Pd (0.5000, 0.5000, 0.5000)  0.60

---

(2)
## BeCrNi2 (GGA-PBE)

Data for BeCrNi2 after structural relaxation.

Computed properties:
- total moment (μB/f.u.) = 0.00
- formation energy from the elements (meV per atom) = -93
- density of states at the Fermi level (states/eV/cell) = 3.766
- space group = P4mm, No. 99
- volume (Å³ per atom) = 10.15

abc: 2.4708 2.4708 6.6527
angles: 90.00 90.00 90.00
Fractional coordinates of all 4 atoms:
Ni (0.5000, 0.5000, 0.2777)
Ni (0.0000, 0.0000, 0.0038)
Be (0.0000, 0.0000, 0.4857)
Cr (0.5000, 0.5000, 0.7328)

---

(3)
## BaLa2Pd2 (GGA-PBE)

Data for BaLa2Pd2 after structural relaxation.

Computed properties:
- total moment (μB/f.u.) = 0.00
- distance to the lowest polymorph of the same formula (eV/atom) = 0.082
- formation energy from the elements (meV per atom) = -443
- density of states at the Fermi level (states/eV/cell) = 14.632
- space group = P4/mbm, No. 127
- volume (Å³ per atom) = 27.96

abc: 8.8430 8.8430 3.5755
angles: 90.00 90.00 90.00
Fractional coordinates of all 10 atoms:
La (0.6348, 0.1348, 0.0000)
La (0.3652, 0.8652, 0.0000)
La (0.1348, 0.3652, 0.0000)
La (0.8652, 0.6348, 0.0000)
Pd (0.6622, 0.8378, 0.5000)
Pd (0.1622, 0.6622, 0.5000)
Pd (0.3378, 0.1622, 0.5000)
Pd (0.8378, 0.3378, 0.5000)
Ba (0.5000, 0.5000, 0.0000)
Ba (0.0000, 0.0000, 0.0000)

---

(4)
## HoAl4Ir2 (GGA-PBE)

Data for HoAl4Ir2 after structural relaxation.

Computed properties:
- total moment (μB/f.u.) = 0.00
- formation energy from the elements (meV per atom) = -805
- density of states at the Fermi level (states/eV/cell) = 15.716
- space group = Pnma, No. 62
- volume (Å³ per atom) = 17.23

abc: 4.2532 6.6237 17.1240
angles: 90.00 90.00 90.00
Fractional coordinates of all 28 atoms:
Ir (0.7500, 0.2563, 0.9610)
Ir (0.2500, 0.9660, 0.7843)
Ir (0.7500, 0.4660, 0.7157)
Ir (0.7500, 0.2437, 0.4610)
Ir (0.2500, 0.5340, 0.2843)
Ir (0.7500, 0.0340, 0.2157)
Ir (0.2500, 0.7563, 0.5390)
Ir (0.2500, 0.7437, 0.0390)
Ho (0.2500, 0.0212, 0.3598)
Ho (0.7500, 0.5212, 0.1402)
Ho (0.2500, 0.4788, 0.8598)
Ho (0.7500, 0.9788, 0.6402)
Al (0.2500, 0.6708, 0.6870)
Al (0.2500, 0.4936, 0.4307)
Al (0.7500, 0.9936, 0.0693)
Al (0.7500, 0.7334, 0.3059)
Al (0.7500, 0.5064, 0.5693)
Al (0.2500, 0.8292, 0.1870)
Al (0.2500, 0.2334, 0.1941)
Al (0.7500, 0.3292, 0.3130)
Al (0.2500, 0.1504, 0.5329)
Al (0.7500, 0.7666, 0.8059)
Al (0.2500, 0.0064, 0.9307)
Al (0.7500, 0.8496, 0.4671)
Al (0.7500, 0.6504, 0.9671)
Al (0.2500, 0.2666, 0.6941)
Al (0.7500, 0.1708, 0.8130)
Al (0.2500, 0.3496, 0.0329)

---

(5)
## Cs2RbI2 (GGA-PBE)

Data for Cs2RbI2 after structural relaxation.

Computed properties:
- formation energy from raw total energies (eV per atom) = -1.053
- total moment (μB/f.u.) = 0.00
- distance to the lowest polymorph of the same formula (eV/atom) = 0.102
- density of states at the Fermi level (states/eV/cell) = 3.503
- space group = I4/mmm, No. 139
- volume (Å³ per atom) = 78.40

abc: 7.0933 7.0933 9.2656
angles: 67.49 67.49 90.00
Fractional coordinates of all 5 atoms:
Cs (0.6695, 0.6695, 0.6610)
Cs (0.3305, 0.3305, 0.3390)
I (0.7500, 0.2500, 0.5000)
I (0.2500, 0.7500, 0.5000)
Rb (0.0000, 0.0000, 0.0000)

---

(6)
## ZrTlB2Pd (GGA-PBE)

Data for ZrTlB2Pd after structural relaxation.

Computed properties:
- total moment (μB/f.u.) = 0.00
- distance to the lowest polymorph of the same formula (eV/atom) = 0.370
- formation energy from the elements (meV per atom) = 1677
- density of states at the Fermi level (states/eV/cell) = 3.664
- space group = P4/mmm, No. 123
- volume (Å³ per atom) = 19.07

abc: 4.3659 5.0021 4.3659
angles: 90.00 90.00 90.00
Fractional coordinates of all 5 atoms:
Pd (0.0000, 0.5000, 0.0000)
B (0.5000, 0.0000, 0.0000)
B (0.0000, 0.0000, 0.5000)
Zr (0.5000, 0.5000, 0.5000)
Tl (0.0000, 0.0000, 0.0000)

---

Q: Which formula does entry 2 have?
A: BeCrNi2

---

Q: Which formula does entry 1 have?
A: SrPdSeBr2

---

Q: Which value of density of states at the Fermi level does entry 6 give?
A: 3.664 states/eV/cell